No. 1
First-principles (GGA-PBE) data for Pr6Tl3Cd after structural relaxation, as listed in the Alexandria database.

a b c (Å): 11.362 4.625 13.970
angles (deg): 90.00 113.58 90.00
Space group P2_1/m (No. 11)
Unique sites:
Pr 0.014 0.250 0.346 (multiplicity 2)
Pr 0.086 0.250 0.901 (multiplicity 2)
Pr 0.248 0.750 0.335 (multiplicity 2)
Pr 0.330 0.750 0.108 (multiplicity 2)
Pr 0.348 0.750 0.787 (multiplicity 2)
Pr 0.391 0.250 0.553 (multiplicity 2)
Tl 0.131 0.250 0.149 (multiplicity 2)
Tl 0.170 0.750 0.532 (multiplicity 2)
Tl 0.396 0.250 0.963 (multiplicity 2)
Cd 0.430 0.250 0.304 (multiplicity 2)

* ΔE_f: -0.1744 eV/atom
* DFT total energy: -76.9 eV/cell

No. 2
First-principles (GGA-PBE) data for LiCuRh after structural relaxation, as listed in the Alexandria database.

a b c (Å): 4.903 2.523 6.623
angles (deg): 90.00 90.00 90.00
Space group Pmma (No. 51)
Unique sites:
Li 0.250 0.000 0.150 (multiplicity 2)
Cu 0.000 0.000 0.500 (multiplicity 2)
Rh 0.250 0.500 0.793 (multiplicity 2)

* ΔE_f: -0.0035 eV/atom
* DFT total energy: -26.7 eV/cell

No. 3
First-principles (GGA-PBE) data for K5IO2 after structural relaxation, as listed in the Alexandria database.

a b c (Å): 5.467 13.616 13.947
angles (deg): 90.00 90.00 90.00
Space group Cmcm (No. 63)
Unique sites:
K 0.000 0.042 0.102 (multiplicity 8)
K 0.000 0.177 0.750 (multiplicity 4)
K 0.000 0.319 0.028 (multiplicity 8)
I 0.000 0.440 0.750 (multiplicity 4)
O 0.000 0.143 0.558 (multiplicity 8)

* DFT total energy: -103.6 eV/cell
* raw formation energy: -1.117 eV/atom

No. 4
First-principles (GGA-PBE) data for HfMgTi2 after structural relaxation, as listed in the Alexandria database.

a b c (Å): 4.020 4.020 19.904
angles (deg): 90.00 90.00 90.00
Space group I-42d (No. 122)
Unique sites:
Hf 0.000 0.000 0.000 (multiplicity 4)
Mg 0.000 0.000 0.500 (multiplicity 4)
Ti 0.242 0.750 0.125 (multiplicity 8)

* ΔE_f: 0.5707 eV/atom
* DFT total energy: -100.2 eV/cell

No. 5
First-principles (GGA-PBE) data for Na2SrMgCl6 after structural relaxation, as listed in the Alexandria database.

a b c (Å): 7.371 7.371 5.833
angles (deg): 90.00 90.00 90.00
Space group P4mm (No. 99)
Unique sites:
Na 0.000 0.500 0.000 (multiplicity 2)
Sr 0.000 0.000 0.686 (multiplicity 1)
Mg 0.500 0.500 0.682 (multiplicity 1)
Cl 0.000 0.000 0.206 (multiplicity 1)
Cl 0.268 0.268 0.795 (multiplicity 4)
Cl 0.500 0.500 0.285 (multiplicity 1)

* DFT total energy: -36.0 eV/cell
* raw formation energy: -1.905 eV/atom

No. 6
First-principles (GGA-PBE) data for Rb5Sb2Se6 after structural relaxation, as listed in the Alexandria database.

a b c (Å): 13.604 14.817 5.164
angles (deg): 90.00 90.00 90.00
Space group Pbam (No. 55)
Unique sites:
Rb 0.000 0.000 0.000 (multiplicity 2)
Rb 0.049 0.266 0.000 (multiplicity 4)
Rb 0.195 0.519 0.000 (multiplicity 4)
Sb 0.203 0.725 0.500 (multiplicity 4)
Se 0.061 0.612 0.500 (multiplicity 4)
Se 0.145 0.117 0.500 (multiplicity 4)
Se 0.199 0.796 0.000 (multiplicity 4)

* DFT total energy: -90.4 eV/cell
* raw formation energy: -0.861 eV/atom

No. 7
First-principles (GGA-PBE) data for Cd3CoSe after structural relaxation, as listed in the Alexandria database.

a b c (Å): 5.350 5.350 5.350
angles (deg): 90.00 90.00 90.00
Space group Pm-3m (No. 221)
Unique sites:
Cd 0.000 0.000 0.500 (multiplicity 3)
Co 0.500 0.500 0.500 (multiplicity 1)
Se 0.000 0.000 0.000 (multiplicity 1)

* DFT total energy: -8.8 eV/cell
* raw formation energy: 0.911 eV/atom

No. 8
First-principles (GGA-PBE) data for Nd3Tm2Sn3 after structural relaxation, as listed in the Alexandria database.

a b c (Å): 4.645 13.395 15.759
angles (deg): 90.00 90.00 90.00
Space group Cmcm (No. 63)
Unique sites:
Nd 0.000 0.059 0.118 (multiplicity 8)
Nd 0.000 0.356 0.250 (multiplicity 4)
Tm 0.000 0.228 0.588 (multiplicity 8)
Sn 0.000 0.354 0.750 (multiplicity 4)
Sn 0.000 0.402 0.041 (multiplicity 8)

* ΔE_f: -0.6312 eV/atom
* DFT total energy: -161.2 eV/cell

No. 9
First-principles (GGA-PBE) data for Ba2FeMo after structural relaxation, as listed in the Alexandria database.

a b c (Å): 3.836 3.836 8.310
angles (deg): 90.00 90.00 90.00
Space group P4/mmm (No. 123)
Unique sites:
Ba 0.000 0.000 0.245 (multiplicity 2)
Fe 0.500 0.500 0.000 (multiplicity 1)
Mo 0.500 0.500 0.500 (multiplicity 1)

* ΔE_f: 1.2299 eV/atom
* DFT total energy: -18.2 eV/cell

No. 10
First-principles (GGA-PBE) data for CaLa3Ir8 after structural relaxation, as listed in the Alexandria database.

a b c (Å): 5.4503 5.4503 26.7115
angles (deg): 90.00 90.00 120.00
Space group R3m (No. 160, hexagonal axes)
Unique sites:
Ca 0.0000 0.0000 0.0000 (multiplicity 3)
La 0.0000 0.0000 0.1236 (multiplicity 3)
La 0.0000 0.0000 0.5009 (multiplicity 3)
La 0.0000 0.0000 0.6271 (multiplicity 3)
Ir 0.0000 0.0000 0.3131 (multiplicity 3)
Ir 0.0000 0.0000 0.8129 (multiplicity 3)
Ir 0.0003 0.5002 0.0624 (multiplicity 9)
Ir 0.0004 0.5002 0.5634 (multiplicity 9)

* ΔE_f: -0.6590 eV/atom
* DFT total energy: -286.7 eV/cell

No. 11
First-principles (GGA-PBE) data for CaNdH6Pt2 after structural relaxation, as listed in the Alexandria database.

a b c (Å): 7.565 9.684 6.941
angles (deg): 90.00 111.33 90.00
Space group C2/c (No. 15)
Unique sites:
Ca 0.000 0.157 0.250 (multiplicity 4)
Nd 0.000 0.415 0.750 (multiplicity 4)
H 0.064 0.373 0.110 (multiplicity 8)
H 0.178 0.248 0.624 (multiplicity 8)
H 0.191 0.015 0.988 (multiplicity 8)
Pt 0.194 0.132 0.812 (multiplicity 8)

* DFT total energy: -178.0 eV/cell

No. 12
First-principles (GGA-PBE) data for Co2PBr after structural relaxation, as listed in the Alexandria database.

a b c (Å): 3.374 5.671 6.642
angles (deg): 90.00 90.00 90.00
Space group Cmmm (No. 65)
Unique sites:
Co 0.000 0.000 0.192 (multiplicity 4)
P 0.000 0.500 0.000 (multiplicity 2)
Br 0.000 0.500 0.500 (multiplicity 2)

* DFT total energy: -40.9 eV/cell
* raw formation energy: 0.216 eV/atom

No. 13
First-principles (GGA-PBE) data for Zr2Fe21B6 after structural relaxation, as listed in the Alexandria database.

a b c (Å): 10.750 10.750 10.750
angles (deg): 90.00 90.00 90.00
Space group Fm-3m (No. 225)
Unique sites:
Zr 0.250 0.250 0.250 (multiplicity 8)
Fe 0.000 0.000 0.000 (multiplicity 4)
Fe 0.000 0.171 0.171 (multiplicity 48)
Fe 0.113 0.113 0.387 (multiplicity 32)
B 0.000 0.000 0.273 (multiplicity 24)

* ΔE_f: -0.2520 eV/atom
* DFT total energy: -968.7 eV/cell

No. 14
First-principles (GGA-PBE) data for BaMnHg2Cl after structural relaxation, as listed in the Alexandria database.

a b c (Å): 5.377 5.377 5.036
angles (deg): 90.00 90.00 90.00
Space group P4/mmm (No. 123)
Unique sites:
Ba 0.000 0.000 0.000 (multiplicity 1)
Mn 0.500 0.500 0.500 (multiplicity 1)
Hg 0.000 0.500 0.500 (multiplicity 2)
Cl 0.500 0.500 0.000 (multiplicity 1)

* DFT total energy: -15.5 eV/cell
* raw formation energy: -0.385 eV/atom

no.,volume (Å³/f.u.)
1,336.4
2,41.0
3,259.6
4,80.4
5,316.9
6,520.5
7,153.2
8,245.1
9,122.3
10,229.1
11,118.4
12,63.5
13,310.5
14,145.6